DFT (PBE with a Hubbard U) results for crystalline V2OF5 at its relaxed geometry.

a b c (Å): 5.283 13.510 5.283
angles (deg): 89.98 59.99 90.00
Last column: magnetic moment on the atom in μB.
Atoms (fractional coordinates):
F (0.592, 0.747, 0.395)  0.00
F (0.757, 0.081, 0.337)  0.00
F (0.083, 0.919, 0.240)  -0.01
F (0.407, 0.249, 0.598)  0.01
F (0.737, 0.582, 0.918)  0.01
F (0.906, 0.586, 0.343)  -0.01
F (0.348, 0.080, 0.924)  0.00
F (0.678, 0.916, 0.070)  0.01
F (0.004, 0.747, 0.574)  0.00
F (0.264, 0.916, 0.661)  0.01
F (0.009, 0.253, 0.417)  -0.01
F (0.328, 0.583, 0.740)  0.01
F (0.240, 0.414, 0.089)  0.00
F (0.061, 0.413, 0.681)  0.00
F (0.584, 0.249, 0.012)  0.01
V (0.682, 0.166, 0.668)  1.85
V (0.983, 0.499, 0.016)  1.85
V (0.006, 0.007, 0.970)  1.20
V (0.637, 0.674, 0.690)  1.20
V (0.335, 0.833, 0.317)  1.85
V (0.357, 0.340, 0.339)  1.20
O (0.640, 0.416, 0.262)  -0.17
O (0.432, 0.749, 0.973)  -0.17
O (0.929, 0.083, 0.765)  -0.17

- Calculated volume: 326.5 Å³/cell
- Offset from the most stable computed form: 0.001 eV/atom
- N(E_F): 0.0 states/eV/f.u.
- Energy: -6.325 eV per atom
- Mass density: 3.25 g/cm3